# MnBeRe2

An optimized crystal structure of MnBeRe2 (PBE-GGA, Alexandria via LeMat-Bulk).

CIF file:
```
data_MnBeRe2
_symmetry_space_group_name_H-M 'P 1'
_symmetry_Int_Tables_number 1
_symmetry_space_group_name_Hall 'P 1'
_cell_length_a 2.848
_cell_length_b 2.848
_cell_length_c 6.011
_cell_angle_alpha 90.00
_cell_angle_beta 90.00
_cell_angle_gamma 90.00
loop_
_atom_site_label
_atom_site_fract_x
_atom_site_fract_y
_atom_site_fract_z
Re1 0.500 0.500 0.285
Re2 0.000 0.000 0.967
Mn1 0.500 0.500 0.722
Be1 0.000 0.000 0.527
```

Computed properties:
* magnetic moment: 0.000 μB per atom
* uncorrected energy: -0.696 Ry per atom
* DOS(E_F): 0.54 states/eV/atom
* ΔE_f: -16 meV per atom
* space group: P4mm, No. 99